No. 1
10
Lattice="6.0970 0.0000 0.0000 0.0000 6.0970 0.0000 0.0000 0.0000 3.9163" Properties=species:S:1:pos:R:3 comment="Ta2MnSi2 (GGA-PBE, relaxed)" dos_ef_per_ev_cell=5.30 raw_formation_energy_mev_per_atom=-458 space_group="P4/mbm (127)" pbc="T T T"
Ta 1.0097 2.0388 0.0000
Ta 2.0388 5.0872 0.0000
Ta 4.0582 1.0097 0.0000
Ta 5.0872 4.0582 0.0000
Mn 0.0000 0.0000 1.9581
Mn 3.0485 3.0485 1.9581
Si 0.8529 3.9014 1.9581
Si 2.1956 0.8529 1.9581
Si 3.9014 5.2441 1.9581
Si 5.2441 2.1956 1.9581



No. 2
10
Lattice="2.2333 -10.7081 0.0000 2.2333 10.7081 0.0000 0.0000 0.0000 7.8331" Properties=species:S:1:pos:R:3 comment="GaPbBr3 (GGA-PBE, relaxed)" dos_ef_per_ev_cell=0.00 raw_formation_energy_mev_per_atom=-738 space_group="Cmc2_1 (36)" pbc="T T T"
Ga 2.2333 7.5277 3.9166
Ga 2.2333 -7.5277 0.0000
Pb 2.2333 3.3776 3.7753
Pb 2.2333 -3.3776 7.6919
Br 2.2333 8.8945 1.0713
Br 2.2333 5.4250 6.4177
Br 2.2333 1.7711 1.3672
Br 2.2333 -1.7711 5.2838
Br 2.2333 -5.4250 2.5012
Br 2.2333 -8.8945 4.9879



No. 3
5
Lattice="3.9600 0.0000 0.0000 0.0000 3.9600 0.0000 0.0000 0.0000 5.7551" Properties=species:S:1:pos:R:3 comment="CdTeRhN2 (GGA-PBE, relaxed)" dos_ef_per_ev_cell=4.64 raw_formation_energy_mev_per_atom=983 space_group="P4/mmm (123)" pbc="T T T"
Cd 0.0000 0.0000 0.0000
Te 1.9800 1.9800 0.0000
Rh 1.9800 1.9800 2.8776
N 0.0000 1.9800 2.8776
N 1.9800 0.0000 2.8776



No. 4
4
Lattice="1.5899 0.9179 10.3036 -1.5899 0.9179 10.3036 0.0000 -1.8358 10.3036" Properties=species:S:1:pos:R:3 comment="Li2ZrPb (GGA-PBE, relaxed)" ef_mev_per_atom=82 dos_ef_per_ev_cell=3.52 space_group="R-3m (166)" pbc="T T T"
Li 0.0000 0.0000 7.6225
Li 0.0000 0.0000 23.2884
Zr 0.0000 0.0000 0.0000
Pb 0.0000 0.0000 15.4555



No. 5
4
Lattice="2.2809 1.3169 7.0988 -2.2809 1.3169 7.0988 0.0000 -2.6338 7.0988" Properties=species:S:1:pos:R:3 comment="PrGaP2 (GGA-PBE, relaxed)" ef_mev_per_atom=-468 space_group="R-3m (166)" pbc="T T T"
Pr 0.0000 0.0000 0.0000
Ga 0.0000 0.0000 10.6482
P 0.0000 0.0000 8.4785
P 0.0000 0.0000 12.8179



No. 6
4
Lattice="3.0080 0.0000 0.0000 0.0000 3.0080 0.0000 0.0000 0.0000 5.7549" Properties=species:S:1:pos:R:3 comment="Zn2CoSi (GGA-PBE, relaxed)" dos_ef_per_ev_cell=1.97 raw_formation_energy_mev_per_atom=-75 space_group="P4mm (99)" pbc="T T T"
Zn 0.0000 0.0000 0.0000
Zn 1.5040 1.5040 1.5411
Co 0.0000 0.0000 3.1370
Si 1.5040 1.5040 4.1036



No. 7
10
Lattice="6.9627 0.0000 0.0000 0.0000 6.9627 0.0000 0.0000 0.0000 3.4397" Properties=species:S:1:pos:R:3 comment="Ta2V2Ag (GGA-PBE, relaxed)" ef_mev_per_atom=355 dos_ef_per_ev_cell=8.91 space_group="P4/mbm (127)" pbc="T T T"
Ta 1.2164 2.2650 0.0000
Ta 2.2650 5.7463 0.0000
Ta 4.6978 1.2164 0.0000
Ta 5.7463 4.6978 0.0000
V 0.8344 4.3157 1.7199
V 2.6470 0.8344 1.7199
V 4.3157 6.1284 1.7199
V 6.1284 2.6470 1.7199
Ag 0.0000 0.0000 1.7199
Ag 3.4814 3.4814 1.7199



No. 8
8
Lattice="-4.1511 4.1511 2.7767 4.1511 -4.1511 2.7767 4.1511 4.1511 -2.7767" Properties=species:S:1:pos:R:3 comment="Y2TiP (GGA-PBE, relaxed)" ef_mev_per_atom=-115 dos_ef_per_ev_cell=6.44 space_group="I-42d (122)" pbc="T T T"
Y 6.2266 1.5805 -0.6942
Y 1.5805 2.0755 0.6942
Y -2.0755 2.5706 2.0825
Y 2.5706 2.0755 3.4708
Ti 4.1511 0.0000 1.3883
Ti 0.0000 0.0000 2.7767
P 0.0000 0.0000 0.0000
P 0.0000 4.1511 1.3883



No. 9
18
Lattice="2.1229 -9.4699 0.0000 2.1229 9.4699 0.0000 0.0000 0.0000 13.6386" Properties=species:S:1:pos:R:3 comment="Ba2AlSbSe5 (GGA-PBE, relaxed)" raw_formation_energy_mev_per_atom=-1267 space_group="Cmc2_1 (36)" pbc="T T T"
Ba 2.1229 7.2672 6.8193
Ba 2.1229 7.0486 1.9318
Ba 2.1229 -7.0486 8.7512
Ba 2.1229 -7.2672 0.0000
Al 2.1229 1.0562 3.2391
Al 2.1229 -1.0562 10.0585
Sb 2.1229 5.5943 11.5333
Sb 2.1229 -5.5943 4.7139
Se 2.1229 8.8912 11.3253
Se 2.1229 3.9657 6.6263
Se 2.1229 3.4216 2.6287
Se 2.1229 2.9409 11.2205
Se 2.1229 0.0674 7.9690
Se 2.1229 -0.0674 1.1497
Se 2.1229 -2.9409 4.4012
Se 2.1229 -3.4216 9.4481
Se 2.1229 -3.9657 13.4456
Se 2.1229 -8.8912 4.5059



No. 10
4
Lattice="0.0000 3.2638 3.2638 3.2638 0.0000 3.2638 3.2638 3.2638 0.0000" Properties=species:S:1:pos:R:3 comment="TaCd2Ni (GGA-PBE, relaxed)" ef_mev_per_atom=517 dos_ef_per_ev_cell=5.09 space_group="Fm-3m (225)" pbc="T T T"
Ta 0.0000 0.0000 0.0000
Cd 1.6319 1.6319 1.6319
Cd 4.8957 4.8957 4.8957
Ni 3.2638 3.2638 3.2638



No. 11
8
Lattice="4.0803 -3.1288 0.0000 4.0803 3.1288 0.0000 -2.3307 0.0000 8.1619" Properties=species:S:1:pos:R:3 comment="MgSc6Sn (GGA-PBE, relaxed)" ef_mev_per_atom=76 dos_ef_per_ev_cell=11.30 space_group="C2/m (12)" pbc="T T T"
Mg 0.0000 0.0000 0.0000
Sc 0.8363 1.5297 5.7266
Sc 2.7961 0.0000 0.5107
Sc 4.9936 1.5297 2.4353
Sc 0.8363 -1.5297 5.7266
Sc 3.0338 0.0000 7.6512
Sc 4.9936 -1.5297 2.4353
Sn 2.9149 0.0000 4.0809



No. 12
8
Lattice="2.1425 1.2370 8.7298 -2.1425 1.2370 8.7298 0.0000 -2.4740 8.7298" Properties=species:S:1:pos:R:3 comment="HoAl4Pd2Pt (GGA-PBE, relaxed)" ef_mev_per_atom=-791 dos_ef_per_ev_cell=3.76 space_group="R-3m (166)" pbc="T T T"
Ho 0.0000 0.0000 0.0000
Al 0.0000 0.0000 3.4794
Al 0.0000 0.0000 10.5190
Al 0.0000 0.0000 15.6704
Al 0.0000 0.0000 22.7100
Pd 0.0000 0.0000 6.3995
Pd 0.0000 0.0000 19.7899
Pt 0.0000 0.0000 13.0947